Here is crystalline KPuSb2 at its relaxed geometry from Alexandria. Energies are from PBE-GGA.

Unit cell a=4.1452 b=4.1452 c=7.6501 alpha=90.00 beta=90.00 gamma=90.00
Closest atoms and distances in Å follow each position.
Element x y z (fractional)
1 K 0.0000 0.0000 0.0000  8 Sb 3.77, 2 Pu 3.83, 4 K 4.15
2 Pu 0.0000 0.0000 0.5000  8 Sb 3.27
3 Sb 0.5000 0.5000 0.3094  1 Sb 2.92
4 Sb 0.5000 0.5000 0.6906  1 Sb 2.92

Output
* E above lowest polymorph: 0.0 meV/atom
* magnetization: 5.45 Bohr magnetons per cell
* uncorrected formation energy: -0.447 eV per atom
* V: 32.86 Å³ per atom

=====

Here is crystalline KPuSb2 at its relaxed geometry from Alexandria. Energies are from PBE-GGA.

Unit cell a=8.2377 b=8.2377 c=8.2377 alpha=33.18 beta=33.18 gamma=33.18
Closest atoms and distances in Å follow each position.
Element x y z (fractional)
1 K 0.0000 0.0000 0.0000  6 Sb 3.65
2 Pu 0.5000 0.5000 0.5000  6 Sb 3.08
3 Sb 0.2286 0.2286 0.2286  3 Pu 3.08
4 Sb 0.7714 0.7714 0.7714  3 Pu 3.08

Output
* E above lowest polymorph: 147.6 meV/atom
* magnetization: 4.69 Bohr magnetons per cell
* uncorrected formation energy: -0.300 eV per atom
* V: 37.26 Å³ per atom

=====

Here is crystalline K3Pu3SbSe8 at its relaxed geometry from Alexandria. Energies are from PBE-GGA.

Unit cell a=8.5188 b=8.5188 c=9.1402 alpha=117.88 beta=117.88 gamma=59.70
Closest atoms and distances in Å follow each position.
Element x y z (fractional)
1 K 0.0000 0.0000 0.0000  6 Se 3.35-3.37
2 K 0.0000 0.5000 0.0000  6 Se 3.35-3.38
3 K 0.5000 0.0000 0.0000  6 Se 3.35-3.38
4 Pu 0.0000 0.5000 0.5000  6 Se 2.88-2.91
5 Pu 0.5000 0.0000 0.5000  6 Se 2.88-2.91
6 Pu 0.5000 0.5000 0.5000  6 Se 2.89-2.93
7 Sb 0.0000 0.0000 0.5000  6 Se 2.90
8 Se 0.2332 0.2332 0.6978  2 Pu 2.88, 1 Sb 2.90
9 Se 0.2342 0.7326 0.7001  2 Pu 2.89-2.90, 1 Sb 2.90
10 Se 0.2647 0.2647 0.2960  3 Pu 2.91-2.93
11 Se 0.2674 0.7658 0.2999  2 Pu 2.89-2.90, 1 Sb 2.90
12 Se 0.7326 0.2342 0.7001  2 Pu 2.89-2.90, 1 Sb 2.90
13 Se 0.7353 0.7353 0.7040  3 Pu 2.91-2.93
14 Se 0.7658 0.2674 0.2999  2 Pu 2.89-2.90, 1 Sb 2.90
15 Se 0.7668 0.7668 0.3022  2 Pu 2.88, 1 Sb 2.90

Output
* magnetization: 4.69 Bohr magnetons per cell
* uncorrected formation energy: -1.213 eV per atom
* V: 32.15 Å³ per atom

=====

Here is crystalline K2PuSbSe4 at its relaxed geometry from Alexandria. Energies are from PBE-GGA.

Unit cell a=7.4556 b=4.2703 c=8.0227 alpha=90.00 beta=107.85 gamma=90.00
Closest atoms and distances in Å follow each position.
Element x y z (fractional)
1 K 0.0000 0.0000 0.0000  6 Se 3.34-3.35
2 K 0.5000 0.5000 0.0000  6 Se 3.34-3.35
3 Pu 0.0000 0.5000 0.5000  6 Se 2.92-2.94
4 Sb 0.5000 0.0000 0.5000  6 Se 2.93
5 Se 0.2347 0.0000 0.7043  2 Pu 2.92, 1 Sb 2.93
6 Se 0.2654 0.5000 0.2938  2 Sb 2.93, 1 Pu 2.94
7 Se 0.7346 0.5000 0.7062  2 Sb 2.93, 1 Pu 2.94
8 Se 0.7653 0.0000 0.2957  2 Pu 2.92, 1 Sb 2.93

Output
* magnetization: 5.00 Bohr magnetons per cell
* uncorrected formation energy: -1.071 eV per atom
* V: 30.39 Å³ per atom

=====

Here is crystalline K3Pu2SbTe6 at its relaxed geometry from Alexandria. Energies are from PBE-GGA.

Unit cell a=7.9176 b=7.9176 c=8.5930 alpha=98.83 beta=98.83 gamma=120.00
Closest atoms and distances in Å follow each position.
Element x y z (fractional)
1 K 0.0000 0.0000 0.0000  6 Te 3.56-3.58
2 K 0.3339 0.6661 0.0000  6 Te 3.55-3.58
3 K 0.6661 0.3339 0.0000  6 Te 3.55-3.58
4 Pu 0.1668 0.8332 0.5000  6 Te 3.14
5 Pu 0.8332 0.1668 0.5000  6 Te 3.14
6 Sb 0.5000 0.5000 0.5000  6 Te 3.12
7 Te 0.0995 0.4308 0.2927  1 Sb 3.12, 2 Pu 3.14
8 Te 0.2375 0.2375 0.7070  1 Sb 3.12, 2 Pu 3.14
9 Te 0.4308 0.0995 0.2927  1 Sb 3.12, 2 Pu 3.14
10 Te 0.5692 0.9005 0.7073  1 Sb 3.12, 2 Pu 3.14
11 Te 0.7625 0.7625 0.2930  1 Sb 3.12, 2 Pu 3.14
12 Te 0.9005 0.5692 0.7073  1 Sb 3.12, 2 Pu 3.14

Output
* magnetization: 10.00 Bohr magnetons per cell
* uncorrected formation energy: -0.911 eV per atom
* V: 37.00 Å³ per atom

=====

Here is crystalline K2PuSbTe4 at its relaxed geometry from Alexandria. Energies are from PBE-GGA.

Unit cell a=7.9635 b=4.5505 c=8.5880 alpha=90.00 beta=107.77 gamma=90.00
Closest atoms and distances in Å follow each position.
Element x y z (fractional)
1 K 0.0000 0.0000 0.0000  6 Te 3.58
2 K 0.5000 0.5000 0.0000  6 Te 3.55-3.56
3 Pu 0.0000 0.5000 0.5000  6 Te 3.14-3.16
4 Sb 0.5000 0.0000 0.5000  6 Te 3.12
5 Te 0.2380 0.0000 0.7067  1 Sb 3.12, 2 Pu 3.14
6 Te 0.2675 0.5000 0.2934  2 Sb 3.12, 1 Pu 3.16
7 Te 0.7325 0.5000 0.7066  2 Sb 3.12, 1 Pu 3.16
8 Te 0.7620 0.0000 0.2933  1 Sb 3.12, 2 Pu 3.14

Output
* magnetization: 5.00 Bohr magnetons per cell
* uncorrected formation energy: -0.806 eV per atom
* V: 37.05 Å³ per atom